Computed, not measured: a relaxed structure of NpFeIO6 at the GGA+U level of DFT.

a b c (Å): 5.583 5.583 8.961
angles (deg): 90.00 90.00 120.00
Positions (direct):
Np: 0.667 0.333 0.250
Np: 0.333 0.667 0.750
Fe: 0.000 0.000 0.000
Fe: 0.000 0.000 0.500
I: 0.333 0.667 0.250
I: 0.667 0.333 0.750
O: 0.666 0.669 0.128
O: 0.003 0.334 0.128
O: 0.334 0.003 0.628
O: 0.997 0.666 0.872
O: 0.331 0.334 0.372
O: 0.003 0.669 0.372
O: 0.669 0.003 0.872
O: 0.666 0.997 0.372
O: 0.997 0.331 0.628
O: 0.331 0.997 0.128
O: 0.669 0.666 0.628
O: 0.334 0.331 0.872

Calculated total energy in eV per atom: -6.829
Total moment in μB per formula unit: 6.42